The following is a DFT calculation (PBE) of a geometry-optimized CaY3F structure.

Cell lengths 5.1272, 5.1272, 5.1272 Å; angles 90.00, 90.00, 90.00 degrees
Element x y z (fractional)
Ca 0.0000 0.0000 0.0000
Y 0.0000 0.5000 0.5000
Y 0.5000 0.0000 0.5000
Y 0.5000 0.5000 0.0000
F 0.5000 0.5000 0.5000

Excess energy over the best structure of this formula in the dataset, meV per atom: 0
Fermi-level density of states, states/eV per atom: 1.43
Energy relative to the elements, uncorrected, meV/atom: -817
Symmetry: Pm-3m
Volume, Å³/cell: 134.79

The following is a DFT calculation (PBE) of a geometry-optimized NaLi2PrHg4 structure.

Cell lengths 8.8886, 8.8886, 8.8886 Å; angles 33.41, 33.41, 33.41 degrees
Element x y z (fractional)
Na 0.0000 0.0000 0.0000
Li 0.2516 0.2516 0.2516
Li 0.7484 0.7484 0.7484
Pr 0.5000 0.5000 0.5000
Hg 0.1213 0.1213 0.1213
Hg 0.3744 0.3744 0.3744
Hg 0.6256 0.6256 0.6256
Hg 0.8787 0.8787 0.8787

Fermi-level density of states, states/eV per atom: 0.43
Symmetry: R-3m
ΔH_f (0 K), eV per atom: -0.336
Volume, Å³/cell: 189.60

The following is a DFT calculation (PBE) of a geometry-optimized Nd6Os2PtCl3 structure.

Cell lengths 7.1491, 7.1491, 7.9402 Å; angles 98.61, 98.61, 120.03 degrees
Element x y z (fractional)
Nd 0.0853 0.4312 0.7939
Nd 0.2220 0.2220 0.2055
Nd 0.4312 0.0853 0.7939
Nd 0.5688 0.9147 0.2061
Nd 0.7780 0.7780 0.7945
Nd 0.9147 0.5688 0.2061
Os 0.1665 0.8335 0.0000
Os 0.8335 0.1665 0.0000
Pt 0.5000 0.5000 0.0000
Cl 0.0000 0.0000 0.5000
Cl 0.3275 0.6725 0.5000
Cl 0.6725 0.3275 0.5000

Fermi-level density of states, states/eV per atom: 0.36
Energy relative to the elements, uncorrected, meV/atom: -983
Symmetry: C2/m
Volume, Å³/cell: 335.21

The following is a DFT calculation (PBE) of a geometry-optimized LaCePt2 structure.

Cell lengths 3.6075, 3.6075, 7.2742 Å; angles 90.00, 90.00, 90.00 degrees
Element x y z (fractional)
La 0.0000 0.0000 0.0000
Ce 0.0000 0.0000 0.5000
Pt 0.5000 0.5000 0.2718
Pt 0.5000 0.5000 0.7282

Excess energy over the best structure of this formula in the dataset, meV per atom: 120
Fermi-level density of states, states/eV per atom: 1.87
Symmetry: P4/mmm
ΔH_f (0 K), eV per atom: -1.023
Volume, Å³/cell: 94.67

The following is a DFT calculation (PBE) of a geometry-optimized La2SeBr structure.

Cell lengths 4.6113, 6.4146, 6.4146 Å; angles 36.00, 90.00, 90.00 degrees
Element x y z (fractional)
La 0.0000 0.0000 0.0000
La 0.5000 0.2797 0.2797
Se 0.0000 0.7471 0.7471
Br 0.5000 0.5277 0.5277

Excess energy over the best structure of this formula in the dataset, meV per atom: 141
Fermi-level density of states, states/eV per atom: 0.58
Energy relative to the elements, uncorrected, meV/atom: -1501
Symmetry: Amm2
Volume, Å³/cell: 111.54

The following is a DFT calculation (PBE) of a geometry-optimized MnHN2 structure.

Cell lengths 4.9396, 4.9396, 4.9396 Å; angles 131.37, 131.37, 71.22 degrees
Element x y z (fractional)
Mn 0.0000 0.0000 0.0000
Mn 0.7500 0.2500 0.5000
H 0.2500 0.7500 0.5000
H 0.5000 0.5000 0.0000
N 0.1279 0.6250 0.0029
N 0.3750 0.3779 0.5029
N 0.6221 0.1250 0.9971
N 0.8750 0.8721 0.4971

Excess energy over the best structure of this formula in the dataset, meV per atom: 392
Fermi-level density of states, states/eV per atom: 0.53
Symmetry: I-42d
Volume, Å³/cell: 66.44

Please write out number 2 again, unchanged.
The following is a DFT calculation (PBE) of a geometry-optimized NaLi2PrHg4 structure.

Cell lengths 8.8886, 8.8886, 8.8886 Å; angles 33.41, 33.41, 33.41 degrees
Element x y z (fractional)
Na 0.0000 0.0000 0.0000
Li 0.2516 0.2516 0.2516
Li 0.7484 0.7484 0.7484
Pr 0.5000 0.5000 0.5000
Hg 0.1213 0.1213 0.1213
Hg 0.3744 0.3744 0.3744
Hg 0.6256 0.6256 0.6256
Hg 0.8787 0.8787 0.8787

Fermi-level density of states, states/eV per atom: 0.43
Symmetry: R-3m
ΔH_f (0 K), eV per atom: -0.336
Volume, Å³/cell: 189.60